Computed, not measured: a relaxed Ca3AcAl8 crystal at the GGA-PBE level of DFT.

## Properties
Formation energy (eV/atom): -0.32
Energy above the most stable polymorph in this dataset (meV per atom): 14
SG: P3m1, No. 156

Cell: 5.754 5.754 9.344 Å, 90.00 90.00 120.00°
Fractional coordinates of all 12 atoms:
Ca  0.000  0.000  0.936
Al  0.504  0.009  0.755
Al  0.504  0.496  0.755
Al  0.163  0.837  0.245
Al  0.674  0.837  0.245
Al  0.333  0.667  0.004
Al  0.163  0.326  0.245
Al  0.991  0.496  0.755
Ac  0.000  0.000  0.565
Ca  0.667  0.333  0.065
Ca  0.667  0.333  0.429
Al  0.333  0.667  0.500


Computed, not measured: a relaxed Y6HoEr2Sc crystal at the GGA-PBE level of DFT.

## Properties
Formation energy (eV/atom): 0.13
SG: C2/c, No. 15

Cell: 9.451 8.671 8.671 Å, 117.02 94.13 94.13°
Fractional coordinates of all 20 atoms:
Y  0.688  0.004  0.564
Ho  0.250  0.977  0.023
Y  0.812  0.436  0.996
Sc  0.250  0.413  0.587
Y  0.312  0.996  0.436
Y  0.615  0.494  0.706
Y  0.055  0.124  0.755
Er  0.549  0.200  0.301
Y  0.115  0.706  0.494
Er  0.049  0.301  0.200
Y  0.385  0.506  0.294
Er  0.951  0.699  0.800
Y  0.945  0.876  0.245
Y  0.188  0.564  0.004
Y  0.885  0.294  0.506
Sc  0.750  0.587  0.413
Er  0.451  0.800  0.699
Y  0.555  0.755  0.124
Ho  0.750  0.023  0.977
Y  0.445  0.245  0.876


Computed, not measured: a relaxed NbP4O12 crystal at the GGA-PBE level of DFT.

## Properties
E (Ry/atom): -0.5500
SG: C2/c, No. 15

Cell: 7.490 7.490 10.656 Å, 65.14 65.14 69.80°
Each line ends with the local moment (μB).
Fractional coordinates of all 34 atoms:
O  0.898  0.158  0.096  0.01
O  0.198  0.764  0.397  0.01
O  0.802  0.236  0.603  0.01
O  0.764  0.198  0.897  0.01
O  0.201  0.369  0.316  0.00
O  0.631  0.799  0.184  0.00
O  0.844  0.784  0.327  -0.01
P  0.260  0.740  0.522  0.01
O  0.158  0.898  0.596  0.01
O  0.503  0.269  0.534  0.00
O  0.369  0.201  0.816  0.00
P  0.682  0.710  0.318  0.00
O  0.237  0.529  0.645  0.00
O  0.269  0.503  0.034  0.00
Nb  0.957  0.043  0.750  0.86
O  0.763  0.471  0.355  0.00
O  0.216  0.156  0.173  -0.01
P  0.740  0.260  0.478  0.01
O  0.156  0.216  0.673  -0.01
P  0.740  0.260  0.022  0.01
O  0.471  0.763  0.855  0.00
O  0.842  0.102  0.404  0.01
O  0.799  0.631  0.684  0.00
O  0.784  0.844  0.827  -0.01
O  0.102  0.842  0.904  0.01
P  0.318  0.290  0.682  0.00
O  0.236  0.802  0.103  0.01
P  0.260  0.740  0.978  0.01
Nb  0.043  0.957  0.250  0.86
O  0.529  0.237  0.145  0.00
P  0.290  0.318  0.182  0.00
O  0.731  0.497  0.966  0.00
P  0.710  0.682  0.818  0.00
O  0.497  0.731  0.466  0.00


Computed, not measured: a relaxed SiW5 crystal at the GGA-PBE level of DFT.

## Properties
Energy above the most stable polymorph in this dataset (meV per atom): 286
SG: P-62m, No. 189

Cell: 4.810 4.810 4.729 Å, 90.00 90.00 120.00°
Fractional coordinates of all 6 atoms:
W  0.000  0.673  0.000
Si  0.000  0.000  0.500
W  0.327  0.327  0.000
W  0.333  0.667  0.500
W  0.673  0.000  0.000
W  0.667  0.333  0.500